Computed, not measured: a relaxed structure of KCaCoO3 at the GGA+U level of DFT.

Output
Calculated volume: 14.58 A^3/atom
Total DFT energy (no corrections): -5.5813 eV per atom
DOS(E_F): 0.179 states/eV per atom

Structure (CIF):
```
data_KCaCoO3
_chemical_formula_sum 'K2 Ca2 Co2 O6'
_cell_length_a 6.695
_cell_length_b 6.695
_cell_length_c 7.450
_cell_angle_alpha 104.53
_cell_angle_beta 104.53
_cell_angle_gamma 32.88
_symmetry_space_group_name_H-M 'P 1'
_symmetry_Int_Tables_number 1
loop_
_symmetry_equiv_pos_as_xyz
'x,y,z'
loop_
_atom_site_label
_atom_site_fract_x
_atom_site_fract_y
_atom_site_fract_z
K1 0.147 0.147 0.067
K2 0.853 0.853 0.933
Ca1 0.154 0.154 0.576
Ca2 0.846 0.846 0.424
Co1 0.494 0.494 0.712
Co2 0.506 0.506 0.288
O1 0.006 0.006 0.295
O2 0.345 0.345 0.637
O3 0.360 0.360 0.223
O4 0.640 0.640 0.777
O5 0.655 0.655 0.363
O6 0.994 0.994 0.705
```